VASP calculation (GGA+U) on a relaxed structure of Cs3Ce3MnO8.

a = 7.1085 Å, b = 7.1098 Å, c = 8.0362 Å
α = 116.26°, β = 90.00°, γ = 119.99°
With the nearest neighbours (Å) after each atom.
Sites, in units of the cell vectors:
O (0.2175, 0.9359, 0.6538)  1 Mn 2.31, 2 Ce 2.31
O (0.7817, 0.5639, 0.3459)  2 Ce 2.31, 1 Mn 2.31
O (0.7223, 0.4445, 0.6668)  3 Ce 2.35
O (0.2183, 0.4361, 0.6541)  2 Ce 2.31, 1 Mn 2.31
O (0.2777, 0.5555, 0.3332)  3 Ce 2.35
O (0.7183, 0.9363, 0.6539)  1 Mn 2.31, 2 Ce 2.31
O (0.2818, 0.0637, 0.3461)  1 Mn 2.31, 2 Ce 2.31
O (0.7825, 0.0641, 0.3462)  1 Mn 2.31, 2 Ce 2.31
Ce (0.0000, 0.5000, 0.5000)  6 O 2.31-2.35
Ce (0.5000, 0.0000, 0.5000)  6 O 2.31-2.35
Ce (0.5000, 0.5000, 0.5000)  6 O 2.31-2.35
Cs (0.5000, 0.5000, 0.0000)  6 O 3.08-3.15
Cs (0.0000, 0.0000, 0.0000)  6 O 3.08-3.15
Cs (0.0000, 0.5000, 0.0000)  6 O 3.08-3.15
Mn (0.0000, 0.0000, 0.5000)  6 O 2.31

## Properties
SG: No. 166
size of the total moment: 0.083 Bohr magnetons per cell
total energy: -6.8031 eV/atom
ρ: 5.5 g/cm³